# 1
Here is an optimized crystal structure of RbNa2Si from Alexandria. Energies are from PBE-GGA.

- size of the total moment (μB per formula unit) = 1.00
- electronic total energy (eV/atom) = -1.88
- raw formation energy (eV/atom) = 0.38

Cell lengths 5.6560, 5.6560, 20.3758 Å; angles 90.00, 90.00, 90.00 degrees
With the nearest neighbours (Å) after each atom.
Space group I-42d (No. 122)
One atom of each set of equivalent atoms:
Rb (0.0000, 0.0000, 0.0000) (multiplicity 4)  4 Na 3.68, 4 Si 4.00
Na (0.1029, 0.2500, 0.6250) (multiplicity 8)  2 Si 2.97, 2 Na 3.06
Si (0.0000, 0.0000, 0.5000) (multiplicity 4)  4 Na 2.97

# 2
Here is an optimized crystal structure of RbNa3Si from Alexandria. Energies are from PBE-GGA.

- size of the total moment (μB per formula unit) = 0.00
- electronic total energy (eV/atom) = -1.96
- raw formation energy (eV/atom) = 0.11

Cell lengths 5.7904, 5.7904, 5.7904 Å; angles 90.00, 90.00, 90.00 degrees
With the nearest neighbours (Å) after each atom.
Space group Pm-3m (No. 221)
One atom of each set of equivalent atoms:
Rb (0.0000, 0.0000, 0.0000) (multiplicity 1)  12 Na 4.09
Na (0.0000, 0.5000, 0.5000) (multiplicity 3)  2 Si 2.90
Si (0.5000, 0.5000, 0.5000) (multiplicity 1)  6 Na 2.90

# 3
Here is an optimized crystal structure of RbNa2Si17 from Alexandria. Energies are from PBE-GGA.

- size of the total moment (μB per formula unit) = 0.00
- electronic total energy (eV/atom) = -4.83
- raw formation energy (eV/atom) = -0.04

Cell lengths 14.8091, 14.8091, 14.8091 Å; angles 90.00, 90.00, 90.00 degrees
With the nearest neighbours (Å) after each atom.
Space group Fd-3m (No. 227, origin choice 2)
One atom of each set of equivalent atoms:
Rb (0.1250, 0.1250, 0.1250) (multiplicity 8)  28 Si 3.96-4.04
Na (0.0000, 0.0000, 0.5000) (multiplicity 16)  20 Si 3.21-3.39
Si (0.0326, 0.0326, 0.7174) (multiplicity 32)  4 Si 2.37-2.38
Si (0.0676, 0.0676, 0.8704) (multiplicity 96)  4 Si 2.38-2.41
Si (0.1250, 0.1250, 0.6250) (multiplicity 8)  4 Si 2.37

# 4
Here is an optimized crystal structure of RbNa2Si2 from Alexandria. Energies are from PBE-GGA.

- size of the total moment (μB per formula unit) = 0.00
- electronic total energy (eV/atom) = -2.64
- raw formation energy (eV/atom) = 0.25

Cell lengths 8.7351, 8.7351, 3.4266 Å; angles 90.00, 90.00, 90.00 degrees
With the nearest neighbours (Å) after each atom.
Space group P4/mbm (No. 127)
One atom of each set of equivalent atoms:
Rb (0.0000, 0.0000, 0.0000) (multiplicity 2)  4 Na 3.19, 2 Rb 3.43
Na (0.1843, 0.3157, 0.0000) (multiplicity 4)  6 Si 3.09-3.21, 2 Rb 3.19, 2 Na 3.43
Si (0.0960, 0.5960, 0.5000) (multiplicity 4)  1 Si 2.37

# 5
Here is an optimized crystal structure of RbNaSiTe3 from Alexandria. Energies are from PBE-GGA.

- size of the total moment (μB per formula unit) = 0.00
- electronic total energy (eV/atom) = -3.35
- raw formation energy (eV/atom) = -0.50

Cell lengths 13.0570, 8.2501, 9.2017 Å; angles 90.00, 111.36, 90.00 degrees
With the nearest neighbours (Å) after each atom.
Space group C2/m (No. 12)
One atom of each set of equivalent atoms:
Rb (0.1631, 0.0000, 0.2208) (multiplicity 4)  7 Te 3.71-3.98
Na (0.0000, 0.2947, 0.5000) (multiplicity 4)  4 Te 3.15-3.24, 1 Na 3.39
Si (0.0204, 0.5000, 0.8839) (multiplicity 4)  1 Si 2.38, 3 Te 2.52-2.54
Te (0.1173, 0.2399, 0.8617) (multiplicity 8)  1 Si 2.54
Te (0.1523, 0.5000, 0.3562) (multiplicity 4)  1 Si 2.52

# 6
Here is an optimized crystal structure of Rb2NaSiTe4 from Alexandria. Energies are from PBE-GGA.

- size of the total moment (μB per formula unit) = 0.00
- electronic total energy (eV/atom) = -3.23
- raw formation energy (eV/atom) = -0.57

Cell lengths 6.9095, 14.9621, 26.1651 Å; angles 90.00, 90.00, 90.00 degrees
With the nearest neighbours (Å) after each atom.
Space group Fddd (No. 70, origin choice 2)
One atom of each set of equivalent atoms:
Rb (0.1250, 0.1250, 0.3082) (multiplicity 16)  6 Te 3.77-4.20
Na (0.1250, 0.1250, 0.1250) (multiplicity 8)  4 Te 3.03
Si (0.1250, 0.1250, 0.6250) (multiplicity 8)  4 Te 2.55
Te (0.0685, 0.2715, 0.8170) (multiplicity 32)  1 Si 2.55

# 7
Here is an optimized crystal structure of Rb2NaTiSi from Alexandria. Energies are from PBE-GGA.

- size of the total moment (μB per formula unit) = 2.28
- electronic total energy (eV/atom) = -1.81
- raw formation energy (eV/atom) = 1.50

Cell lengths 6.8327, 6.8327, 5.9451 Å; angles 90.00, 90.00, 90.00 degrees
With the nearest neighbours (Å) after each atom.
Space group P4/mmm (No. 123)
One atom of each set of equivalent atoms:
Rb (0.0000, 0.5000, 0.0000) (multiplicity 2)  2 Ti 3.42
Na (0.0000, 0.0000, 0.5000) (multiplicity 1)  2 Ti 2.97
Ti (0.0000, 0.0000, 0.0000) (multiplicity 1)  2 Na 2.97
Si (0.5000, 0.5000, 0.5000) (multiplicity 1)  8 Rb 4.53, 4 Na 4.83

# 8
Here is an optimized crystal structure of RbNa2TlSi from Alexandria. Energies are from PBE-GGA.

- size of the total moment (μB per formula unit) = 0.00
- electronic total energy (eV/atom) = -2.18
- raw formation energy (eV/atom) = 0.10

Cell lengths 5.7525, 5.7525, 5.5910 Å; angles 90.00, 90.00, 90.00 degrees
With the nearest neighbours (Å) after each atom.
Space group P4/mmm (No. 123)
One atom of each set of equivalent atoms:
Rb (0.0000, 0.0000, 0.0000) (multiplicity 1)  8 Na 4.01, 4 Tl 4.07
Na (0.0000, 0.5000, 0.5000) (multiplicity 2)  2 Si 2.88
Tl (0.5000, 0.5000, 0.0000) (multiplicity 1)  2 Si 2.80
Si (0.5000, 0.5000, 0.5000) (multiplicity 1)  2 Tl 2.80, 4 Na 2.88